(1)
A relaxed K3NbBr2F6 crystal, computed with PBE.

The structure in CIF format:
```
data_K3NbBr2F6
_cell_length_a 16.2003
_cell_length_b 7.7518
_cell_length_c 5.1016
_cell_angle_alpha 90.00
_cell_angle_beta 94.02
_cell_angle_gamma 90.00
_space_group_name_H-M_alt 'C 1 2/m 1'
_space_group_IT_number 12
_space_group_name_Hall '-C 2y'
loop_
_atom_site_label
_atom_site_type_symbol
_atom_site_fract_x
_atom_site_fract_y
_atom_site_fract_z
K1 K 0.0000 0.0000 0.0000
K2 K 0.2500 0.2500 0.5000
Nb1 Nb 0.0000 0.5000 0.5000
Br1 Br 0.1959 0.0000 0.9978
F1 F 0.0263 0.3185 0.7523
F2 F 0.1159 0.5000 0.4155
```

## Properties
Uncorrected formation energy = -2.607 eV/atom
Spin magnetization = 0.000 μB per cell



(2)
A relaxed Li2CaSbO crystal, computed with PBE.

The structure in CIF format:
```
data_Li2CaSbO
_cell_length_a 6.2035
_cell_length_b 6.2035
_cell_length_c 5.5243
_cell_angle_alpha 90.00
_cell_angle_beta 90.00
_cell_angle_gamma 90.00
_space_group_name_H-M_alt 'P 4/m m m'
_space_group_IT_number 123
_space_group_name_Hall '-P 4 2'
loop_
_atom_site_label
_atom_site_type_symbol
_atom_site_fract_x
_atom_site_fract_y
_atom_site_fract_z
Li1 Li 0.0000 0.5000 0.0000
Ca1 Ca 0.0000 0.0000 0.0000
Sb1 Sb 0.0000 0.0000 0.5000
O1 O 0.5000 0.5000 0.5000
```

## Properties
Uncorrected formation energy = 0.969 eV/atom
Spin magnetization = 0.000 μB per cell



(3)
A relaxed SmSc5Al6 crystal, computed with PBE.

The structure in CIF format:
```
data_SmSc5Al6
_cell_length_a 15.4120
_cell_length_b 6.5113
_cell_length_c 5.0748
_cell_angle_alpha 90.00
_cell_angle_beta 107.26
_cell_angle_gamma 90.00
_space_group_name_H-M_alt 'C 1 2/m 1'
_space_group_IT_number 12
_space_group_name_Hall '-C 2y'
loop_
_atom_site_label
_atom_site_type_symbol
_atom_site_fract_x
_atom_site_fract_y
_atom_site_fract_z
Sm1 Sm 0.0000 0.0000 0.0000
Sc1 Sc 0.0000 0.5000 0.0000
Sc2 Sc 0.1611 0.0000 0.7197
Sc3 Sc 0.1691 0.5000 0.7446
Al1 Al 0.0000 0.2750 0.5000
Al2 Al 0.1741 0.2630 0.2538
```

## Properties
Spin magnetization = 0.000 μB per cell
Formation energy from the elements = -0.425 eV per atom



(4)
A relaxed Nb3CoN crystal, computed with PBE.

The structure in CIF format:
```
data_Nb3CoN
_cell_length_a 4.5424
_cell_length_b 4.5424
_cell_length_c 4.5424
_cell_angle_alpha 90.00
_cell_angle_beta 90.00
_cell_angle_gamma 90.00
_space_group_name_H-M_alt 'P m -3 m'
_space_group_IT_number 221
_space_group_name_Hall '-P 4 2 3'
loop_
_atom_site_label
_atom_site_type_symbol
_atom_site_fract_x
_atom_site_fract_y
_atom_site_fract_z
Nb1 Nb 0.0000 0.0000 0.5000
Co1 Co 0.0000 0.0000 0.0000
N1 N 0.5000 0.5000 0.5000
```

## Properties
Uncorrected formation energy = 1.645 eV/atom
Spin magnetization = 0.000 μB per cell



(5)
A relaxed PaNiSe4 crystal, computed with PBE.

The structure in CIF format:
```
data_PaNiSe4
_cell_length_a 6.6405
_cell_length_b 6.6147
_cell_length_c 6.3704
_cell_angle_alpha 90.00
_cell_angle_beta 100.22
_cell_angle_gamma 90.00
_space_group_name_H-M_alt 'P 1 21/c 1'
_space_group_IT_number 14
_space_group_name_Hall '-P 2ybc'
loop_
_atom_site_label
_atom_site_type_symbol
_atom_site_fract_x
_atom_site_fract_y
_atom_site_fract_z
Pa1 Pa 0.0000 0.0000 0.0000
Ni1 Ni 0.5000 0.0000 0.5000
Se1 Se 0.1979 0.1673 0.3889
Se2 Se 0.3162 0.7234 0.2701
```

## Properties
Uncorrected formation energy = -0.701 eV/atom
Spin magnetization = 0.000 μB per cell



(6)
A relaxed CrGe2Pt crystal, computed with PBE.

The structure in CIF format:
```
data_CrGe2Pt
_cell_length_a 6.1471
_cell_length_b 6.1471
_cell_length_c 6.1471
_cell_angle_alpha 90.00
_cell_angle_beta 90.00
_cell_angle_gamma 90.00
_space_group_name_H-M_alt 'F m -3 m'
_space_group_IT_number 225
_space_group_name_Hall '-F 4 2 3'
loop_
_atom_site_label
_atom_site_type_symbol
_atom_site_fract_x
_atom_site_fract_y
_atom_site_fract_z
Cr1 Cr 0.0000 0.0000 0.0000
Ge1 Ge 0.2500 0.2500 0.2500
Pt1 Pt 0.0000 0.0000 0.5000
```

## Properties
Spin magnetization = 0.000 μB per cell
Formation energy from the elements = 0.053 eV per atom



(7)
A relaxed CsAu2Cl8 crystal, computed with PBE.

The structure in CIF format:
```
data_CsAu2Cl8
_cell_length_a 14.5329
_cell_length_b 7.2703
_cell_length_c 8.7649
_cell_angle_alpha 90.00
_cell_angle_beta 108.26
_cell_angle_gamma 90.00
_space_group_name_H-M_alt 'C 1 2/m 1'
_space_group_IT_number 12
_space_group_name_Hall '-C 2y'
loop_
_atom_site_label
_atom_site_type_symbol
_atom_site_fract_x
_atom_site_fract_y
_atom_site_fract_z
Cs1 Cs 0.0000 0.0000 0.0000
Au1 Au 0.1562 0.0000 0.5857
Cl1 Cl 0.0750 0.5000 0.0370
Cl2 Cl 0.1102 0.2182 0.3823
Cl3 Cl 0.2143 0.0000 0.8617
```

## Properties
Uncorrected formation energy = -0.389 eV/atom
Spin magnetization = 2.189 μB per cell



(8)
A relaxed Ba2Tl3 crystal, computed with PBE.

The structure in CIF format:
```
data_Ba2Tl3
_cell_length_a 11.9173
_cell_length_b 17.8909
_cell_length_c 7.0455
_cell_angle_alpha 90.00
_cell_angle_beta 90.00
_cell_angle_gamma 90.00
_space_group_name_H-M_alt 'F d d 2'
_space_group_IT_number 43
_space_group_name_Hall 'F 2 -2d'
loop_
_atom_site_label
_atom_site_type_symbol
_atom_site_fract_x
_atom_site_fract_y
_atom_site_fract_z
Ba1 Ba 0.0704 0.3032 0.0000
Tl1 Tl 0.0000 0.0000 0.3255
Tl2 Tl 0.0667 0.3827 0.4862
```

## Properties
Spin magnetization = 0.000 μB per cell
Formation energy from the elements = -0.370 eV per atom



(9)
A relaxed BeCrFe2 crystal, computed with PBE.

The structure in CIF format:
```
data_BeCrFe2
_cell_length_a 2.8245
_cell_length_b 3.7238
_cell_length_c 7.6911
_cell_angle_alpha 90.00
_cell_angle_beta 90.00
_cell_angle_gamma 90.00
_space_group_name_H-M_alt 'I m m 2'
_space_group_IT_number 44
_space_group_name_Hall 'I 2 -2'
loop_
_atom_site_label
_atom_site_type_symbol
_atom_site_fract_x
_atom_site_fract_y
_atom_site_fract_z
Be1 Be 0.0000 0.0000 0.0000
Cr1 Cr 0.0000 0.5000 0.7561
Fe1 Fe 0.0000 0.0000 0.5007
Fe2 Fe 0.0000 0.5000 0.2584
```

## Properties
Spin magnetization = 1.986 μB per cell
Formation energy from the elements = -0.011 eV per atom



(10)
A relaxed La2IF crystal, computed with PBE.

The structure in CIF format:
```
data_La2IF
_cell_length_a 3.8899
_cell_length_b 3.8899
_cell_length_c 24.0937
_cell_angle_alpha 90.00
_cell_angle_beta 90.00
_cell_angle_gamma 120.00
_space_group_name_H-M_alt 'R -3 m'
_space_group_IT_number 166
_space_group_name_Hall '-R 3 2"'
loop_
_atom_site_label
_atom_site_type_symbol
_atom_site_fract_x
_atom_site_fract_y
_atom_site_fract_z
La1 La 0.0000 0.0000 0.2290
I1 I 0.0000 0.0000 0.0000
F1 F 0.0000 0.0000 0.5000
```

## Properties
Uncorrected formation energy = -1.660 eV/atom
Spin magnetization = 0.001 μB per cell



(11)
A relaxed KNb3Te crystal, computed with PBE.

The structure in CIF format:
```
data_KNb3Te
_cell_length_a 4.7750
_cell_length_b 4.7750
_cell_length_c 4.7750
_cell_angle_alpha 90.00
_cell_angle_beta 90.00
_cell_angle_gamma 90.00
_space_group_name_H-M_alt 'P m -3 m'
_space_group_IT_number 221
_space_group_name_Hall '-P 4 2 3'
loop_
_atom_site_label
_atom_site_type_symbol
_atom_site_fract_x
_atom_site_fract_y
_atom_site_fract_z
K1 K 0.0000 0.0000 0.0000
Nb1 Nb 0.0000 0.0000 0.5000
Te1 Te 0.5000 0.5000 0.5000
```

## Properties
Uncorrected formation energy = 2.469 eV/atom
Spin magnetization = 0.000 μB per cell



(12)
A relaxed BaGa2CoSi crystal, computed with PBE.

The structure in CIF format:
```
data_BaGa2CoSi
_cell_length_a 4.7434
_cell_length_b 4.7434
_cell_length_c 4.5922
_cell_angle_alpha 90.00
_cell_angle_beta 90.00
_cell_angle_gamma 90.00
_space_group_name_H-M_alt 'P 4/m m m'
_space_group_IT_number 123
_space_group_name_Hall '-P 4 2'
loop_
_atom_site_label
_atom_site_type_symbol
_atom_site_fract_x
_atom_site_fract_y
_atom_site_fract_z
Ba1 Ba 0.0000 0.0000 0.0000
Ga1 Ga 0.0000 0.5000 0.5000
Co1 Co 0.5000 0.5000 0.5000
Si1 Si 0.5000 0.5000 0.0000
```

## Properties
Uncorrected formation energy = -0.230 eV/atom
Spin magnetization = 0.951 μB per cell



(13)
A relaxed K2TaAuF6 crystal, computed with PBE.

The structure in CIF format:
```
data_K2TaAuF6
_cell_length_a 10.1463
_cell_length_b 10.1463
_cell_length_c 10.1463
_cell_angle_alpha 90.00
_cell_angle_beta 90.00
_cell_angle_gamma 90.00
_space_group_name_H-M_alt 'F m -3 m'
_space_group_IT_number 225
_space_group_name_Hall '-F 4 2 3'
loop_
_atom_site_label
_atom_site_type_symbol
_atom_site_fract_x
_atom_site_fract_y
_atom_site_fract_z
K1 K 0.2500 0.2500 0.2500
Ta1 Ta 0.0000 0.0000 0.0000
Au1 Au 0.0000 0.0000 0.5000
F1 F 0.0000 0.0000 0.1896
```

## Properties
Uncorrected formation energy = -2.458 eV/atom
Spin magnetization = 0.000 μB per cell



(14)
A relaxed SrNbBiO6 crystal, computed with PBE.

The structure in CIF format:
```
data_SrNbBiO6
_cell_length_a 5.5624
_cell_length_b 5.5624
_cell_length_c 10.7280
_cell_angle_alpha 90.00
_cell_angle_beta 90.00
_cell_angle_gamma 120.00
_space_group_name_H-M_alt 'P -3 1 c'
_space_group_IT_number 163
_space_group_name_Hall '-P 3 2c'
loop_
_atom_site_label
_atom_site_type_symbol
_atom_site_fract_x
_atom_site_fract_y
_atom_site_fract_z
Sr1 Sr 0.0000 0.0000 0.0000
Nb1 Nb 0.3333 0.6667 0.2500
Bi1 Bi 0.3333 0.6667 0.7500
O1 O 0.0154 0.3856 0.1429
```

## Properties
Uncorrected formation energy = -2.024 eV/atom
Spin magnetization = 0.000 μB per cell



(15)
A relaxed TlZnB2 crystal, computed with PBE.

The structure in CIF format:
```
data_TlZnB2
_cell_length_a 6.1959
_cell_length_b 6.1959
_cell_length_c 6.1959
_cell_angle_alpha 90.00
_cell_angle_beta 90.00
_cell_angle_gamma 90.00
_space_group_name_H-M_alt 'F m -3 m'
_space_group_IT_number 225
_space_group_name_Hall '-F 4 2 3'
loop_
_atom_site_label
_atom_site_type_symbol
_atom_site_fract_x
_atom_site_fract_y
_atom_site_fract_z
Tl1 Tl 0.0000 0.0000 0.0000
Zn1 Zn 0.0000 0.0000 0.5000
B1 B 0.2500 0.2500 0.2500
```

## Properties
Spin magnetization = 0.000 μB per cell
Formation energy from the elements = 1.640 eV per atom



(16)
A relaxed LiAc2N crystal, computed with PBE.

The structure in CIF format:
```
data_LiAc2N
_cell_length_a 3.8190
_cell_length_b 3.8190
_cell_length_c 28.4784
_cell_angle_alpha 90.00
_cell_angle_beta 90.00
_cell_angle_gamma 120.00
_space_group_name_H-M_alt 'R -3 m'
_space_group_IT_number 166
_space_group_name_Hall '-R 3 2"'
loop_
_atom_site_label
_atom_site_type_symbol
_atom_site_fract_x
_atom_site_fract_y
_atom_site_fract_z
Li1 Li 0.0000 0.0000 0.0000
Ac1 Ac 0.0000 0.0000 0.2193
N1 N 0.0000 0.0000 0.5000
```

## Properties
Uncorrected formation energy = -0.423 eV/atom
Spin magnetization = 0.000 μB per cell



(17)
A relaxed Lu3H12Ru5 crystal, computed with PBE.

The structure in CIF format:
```
data_Lu3H12Ru5
_cell_length_a 11.2738
_cell_length_b 11.2738
_cell_length_c 11.2738
_cell_angle_alpha 90.00
_cell_angle_beta 90.00
_cell_angle_gamma 90.00
_space_group_name_H-M_alt 'I a -3 d'
_space_group_IT_number 230
_space_group_name_Hall '-I 4bd 2c 3'
loop_
_atom_site_label
_atom_site_type_symbol
_atom_site_fract_x
_atom_site_fract_y
_atom_site_fract_z
Lu1 Lu 0.0000 0.2500 0.1250
H1 H 0.0295 0.0599 0.6428
Ru1 Ru 0.0000 0.0000 0.0000
Ru2 Ru 0.0000 0.2500 0.3750
```

## Properties
Spin magnetization = 0.019 μB per cell
Raw total energy = -843.23 eV/cell



(18)
A relaxed SrMgCl2 crystal, computed with PBE.

The structure in CIF format:
```
data_SrMgCl2
_cell_length_a 15.5051
_cell_length_b 3.7333
_cell_length_c 4.7384
_cell_angle_alpha 90.00
_cell_angle_beta 90.77
_cell_angle_gamma 90.00
_space_group_name_H-M_alt 'C 1 m 1'
_space_group_IT_number 8
_space_group_name_Hall 'C -2y'
loop_
_atom_site_label
_atom_site_type_symbol
_atom_site_fract_x
_atom_site_fract_y
_atom_site_fract_z
Sr1 Sr 0.0000 0.0000 0.0000
Mg1 Mg 0.2092 0.5000 0.0033
Cl1 Cl 0.0107 0.5000 0.5001
Cl2 Cl 0.3454 0.0000 0.9927
```

## Properties
Uncorrected formation energy = -1.430 eV/atom
Spin magnetization = 0.000 μB per cell



(19)
A relaxed Sr3InI crystal, computed with PBE.

The structure in CIF format:
```
data_Sr3InI
_cell_length_a 6.4122
_cell_length_b 6.4122
_cell_length_c 6.4122
_cell_angle_alpha 90.00
_cell_angle_beta 90.00
_cell_angle_gamma 90.00
_space_group_name_H-M_alt 'P m -3 m'
_space_group_IT_number 221
_space_group_name_Hall '-P 4 2 3'
loop_
_atom_site_label
_atom_site_type_symbol
_atom_site_fract_x
_atom_site_fract_y
_atom_site_fract_z
Sr1 Sr 0.0000 0.0000 0.5000
In1 In 0.0000 0.0000 0.0000
I1 I 0.5000 0.5000 0.5000
```

## Properties
Uncorrected formation energy = -0.399 eV/atom
Spin magnetization = 0.000 μB per cell



(20)
A relaxed NaPmO2 crystal, computed with PBE.

The structure in CIF format:
```
data_NaPmO2
_cell_length_a 3.5571
_cell_length_b 3.5571
_cell_length_c 16.8821
_cell_angle_alpha 90.00
_cell_angle_beta 90.00
_cell_angle_gamma 120.00
_space_group_name_H-M_alt 'R -3 m'
_space_group_IT_number 166
_space_group_name_Hall '-R 3 2"'
loop_
_atom_site_label
_atom_site_type_symbol
_atom_site_fract_x
_atom_site_fract_y
_atom_site_fract_z
Na1 Na 0.0000 0.0000 0.0000
Pm1 Pm 0.0000 0.0000 0.5000
O1 O 0.0000 0.0000 0.2385
```

## Properties
Uncorrected formation energy = -2.652 eV/atom
Spin magnetization = 0.000 μB per cell



(21)
A relaxed Cd2CuRh crystal, computed with PBE.

The structure in CIF format:
```
data_Cd2CuRh
_cell_length_a 4.0387
_cell_length_b 4.0387
_cell_length_c 8.1669
_cell_angle_alpha 90.00
_cell_angle_beta 90.00
_cell_angle_gamma 90.00
_space_group_name_H-M_alt 'I -4 m 2'
_space_group_IT_number 119
_space_group_name_Hall 'I -4 -2'
loop_
_atom_site_label
_atom_site_type_symbol
_atom_site_fract_x
_atom_site_fract_y
_atom_site_fract_z
Cd1 Cd 0.0000 0.0000 0.0000
Cd2 Cd 0.0000 0.5000 0.2500
Cu1 Cu 0.0000 0.5000 0.7500
Rh1 Rh 0.0000 0.0000 0.5000
```

## Properties
Spin magnetization = 0.000 μB per cell
Formation energy from the elements = -0.019 eV per atom



(22)
A relaxed Tb5Y4Tl2 crystal, computed with PBE.

The structure in CIF format:
```
data_Tb5Y4Tl2
_cell_length_a 5.2168
_cell_length_b 5.2168
_cell_length_c 47.5775
_cell_angle_alpha 90.00
_cell_angle_beta 90.00
_cell_angle_gamma 120.00
_space_group_name_H-M_alt 'R -3 m'
_space_group_IT_number 166
_space_group_name_Hall '-R 3 2"'
loop_
_atom_site_label
_atom_site_type_symbol
_atom_site_fract_x
_atom_site_fract_y
_atom_site_fract_z
Tb1 Tb 0.0000 0.0000 0.0000
Tb2 Tb 0.0000 0.0000 0.1483
Tb3 Tb 0.0000 0.0000 0.3015
Y1 Y 0.0000 0.0000 0.0733
Y2 Y 0.0000 0.0000 0.2247
Tl1 Tl 0.0000 0.0000 0.3809
```

## Properties
Spin magnetization = 0.001 μB per cell
Formation energy from the elements = 0.252 eV per atom